Compound: CaMnCrO4
Source: Alexandria
Functional: GGA+U
Structure: optimized geometry

Computed properties:
Symmetry: Imma, No. 74
Magnetization, μB/f.u.: 5.00
Calculated total energy, eV/atom: -7.23

abc: 6.2125 6.1972 6.2328
angles: 120.19 90.00 120.08
Fractional positions:
1 Ca 0.8758 0.7516 0.1258
2 Ca 0.1242 0.2484 0.8742
3 Mn 0.5000 0.5000 0.5000
4 Mn 0.0000 0.5000 0.5000
5 Cr 0.5000 0.0000 0.5000
6 Cr 0.5000 0.0000 0.0000
7 O 0.7331 0.4663 0.6936
8 O 0.3071 0.0388 0.2694
9 O 0.7317 0.0388 0.2694
10 O 0.7331 0.4663 0.2727
11 O 0.2669 0.5337 0.7273
12 O 0.6929 0.9612 0.7306
13 O 0.2683 0.9612 0.7306
14 O 0.2669 0.5337 0.3064